MnGeF4: optimized geometry, GGA+U.

CIF file:
```
data_MnGeF4
_space_group_name_H-M_alt 'C 1 2/c 1'
_space_group_IT_number 15
_cell_length_a 7.373
_cell_length_b 11.299
_cell_length_c 5.363
_cell_angle_alpha 90.00
_cell_angle_beta 131.16
_cell_angle_gamma 90.00
loop_
_space_group_symop_operation_xyz
'x,y,z'
'-x,-y,-z'
'-x,y,-z+1/2'
'x,-y,z+1/2'
'x+1/2,y+1/2,z'
'-x+1/2,-y+1/2,-z'
'-x+1/2,y+1/2,-z+1/2'
'x+1/2,-y+1/2,z+1/2'
loop_
_atom_site_label
_atom_site_type_symbol
_atom_site_fract_x
_atom_site_fract_y
_atom_site_fract_z
_atom_site_occupancy
Mn1 Mn 0.000 0.088 0.250 1
Ge1 Ge 0.000 0.351 0.750 1
F1 F 0.156 0.216 0.139 1
F2 F 0.233 0.034 0.756 1
```

energy above the lowest structure with this stoichiometry: 0.0 meV per atom